A relaxed K3ScGa crystal. Source: Alexandria, functional PBE.

The structure belongs to space group Pm-3m (No. 221); the cell edges are 6.872, 6.872 and 6.872 Å and the angles 90.00°, 90.00° and 90.00°. The distinct sites, in fractional coordinates, are K at (0.000, 0.000, 0.500), Sc at (0.000, 0.000, 0.000) and Ga at (0.500, 0.500, 0.500).

For the energy above the most stable polymorph in this dataset, the calculation gives 6.40 kcal/mol of atoms. The calculation puts the formation energy at 1.007 eV per atom.

=====

A relaxed K3Sc3GaSe8 crystal. Source: Alexandria, functional PBE.

The structure belongs to space group C2/m (No. 12); the cell edges are 13.515, 7.784 and 9.087 Å and the angles 90.00°, 119.76° and 90.00°. The distinct sites, in fractional coordinates, are K at (0.000, 0.000, 0.000), K at (0.250, 0.250, 0.000), Sc at (0.000, 0.500, 0.500), Sc at (0.250, 0.250, 0.500), Ga at (0.000, 0.000, 0.500), Se at (0.019, 0.247, 0.309), Se at (0.228, 0.000, 0.691) and Se at (0.232, 0.500, 0.696).

=====

A relaxed K3Sc3GaTe8 crystal. Source: Alexandria, functional PBE.

The structure belongs to space group C2/m (No. 12); the cell edges are 14.503, 8.343 and 9.787 Å and the angles 90.00°, 119.70° and 90.00°. The distinct sites, in fractional coordinates, are K at (0.000, 0.000, 0.000), K at (0.250, 0.250, 0.000), Sc at (0.000, 0.500, 0.500), Sc at (0.250, 0.250, 0.500), Ga at (0.000, 0.000, 0.500), Te at (0.019, 0.251, 0.306), Te at (0.233, 0.000, 0.695) and Te at (0.233, 0.500, 0.700).

=====

A relaxed KGa6Se8 crystal. Source: Alexandria, functional PBE.

The structure belongs to space group R-3 (No. 148, hexagonal axes); the cell edges are 11.0245, 11.0245 and 11.3280 Å and the angles 90.00°, 90.00° and 120.00°. The distinct sites, in fractional coordinates, are K at (0.0000, 0.0000, 0.0000), Ga at (0.0521, 0.8024, 0.6255), Se at (0.0000, 0.0000, 0.3313) and Se at (0.0340, 0.7386, 0.1220).

=====

A relaxed KGaSe2 crystal. Source: Alexandria, functional PBE.

The structure belongs to space group P3m1 (No. 156); the cell edges are 4.1751, 4.1751 and 7.9045 Å and the angles 90.00°, 90.00° and 120.00°. The distinct sites, in fractional coordinates, are K at (0.0000, 0.0000, 0.0000), Ga at (0.3333, 0.6667, 0.4714), Se at (0.3333, 0.6667, 0.7561) and Se at (0.6667, 0.3333, 0.3307).

=====

A relaxed KGaSe2 crystal. Source: Alexandria, functional PBE.

The structure belongs to space group P4/mmm (No. 123); the cell edges are 5.923, 5.923 and 2.868 Å and the angles 90.00°, 90.00° and 90.00°. The distinct sites, in fractional coordinates, are K at (0.000, 0.000, 0.000), Ga at (0.500, 0.500, 0.000) and Se at (0.000, 0.500, 0.500).

=====

A relaxed KGa2Se4 crystal. Source: Alexandria, functional PBE.

The structure belongs to space group Cccm (No. 66); the cell edges are 6.445, 11.435 and 11.715 Å and the angles 90.00°, 90.00° and 90.00°. The distinct sites, in fractional coordinates, are K at (0.000, 0.000, 0.250), Ga at (0.001, 0.255, 0.000), Se at (0.243, 0.090, 0.500) and Se at (0.250, 0.250, 0.157).

=====

A relaxed K2GaSe crystal. Source: Alexandria, functional PBE.

The structure belongs to space group I-42d (No. 122); the cell edges are 5.184, 5.184 and 21.862 Å and the angles 90.00°, 90.00° and 90.00°. The distinct sites, in fractional coordinates, are K at (0.219, 0.250, 0.125), Ga at (0.000, 0.000, 0.500) and Se at (0.000, 0.000, 0.000).

For the energy above the most stable polymorph in this dataset, the calculation gives 3.17 kcal/mol of atoms.

=====

A relaxed KGaSe2 crystal. Source: Alexandria, functional PBE.

The structure belongs to space group P-1 (No. 2); the cell edges are 6.297, 6.942 and 7.128 Å and the angles 110.29°, 107.14° and 107.49°. The distinct sites, in fractional coordinates, are K at (0.204, 0.199, 0.404), Ga at (0.252, 0.514, 0.000), Se at (0.157, 0.654, 0.317) and Se at (0.389, 0.219, 0.996).

=====

A relaxed KGaSe2 crystal. Source: Alexandria, functional PBE.

The structure belongs to space group I-4m2 (No. 119); the cell edges are 3.930, 3.930 and 14.120 Å and the angles 90.00°, 90.00° and 90.00°. The distinct sites, in fractional coordinates, are K at (0.000, 0.000, 0.000), Ga at (0.000, 0.500, 0.750) and Se at (0.000, 0.000, 0.356).

=====

A relaxed KGaSe2 crystal. Source: Alexandria, functional PBE.

The structure belongs to space group R3m (No. 160, hexagonal axes); the cell edges are 4.1922, 4.1922 and 25.5618 Å and the angles 90.00°, 90.00° and 120.00°. The distinct sites, in fractional coordinates, are K at (0.0000, 0.0000, 0.0000), Ga at (0.0000, 0.0000, 0.5060), Se at (0.0000, 0.0000, 0.1310) and Se at (0.0000, 0.0000, 0.5947).

=====

A relaxed KGaSe2 crystal. Source: Alexandria, functional PBE.

The structure belongs to space group P2_1/c (No. 14); the cell edges are 6.031, 4.056 and 19.150 Å and the angles 90.00°, 95.32° and 90.00°. The distinct sites, in fractional coordinates, are K at (0.231, 0.001, 0.430), Ga at (0.341, 0.002, 0.192), Se at (0.241, 0.001, 0.074) and Se at (0.251, 0.502, 0.266).

=====

A relaxed KGaSe3 crystal. Source: Alexandria, functional PBE.

The structure belongs to space group P1 (No. 1); the cell edges are 6.986, 7.264 and 7.749 Å and the angles 111.21°, 107.26° and 105.30°. The distinct sites, in fractional coordinates, are K at (0.000, 0.000, 0.000), K at (0.473, 0.760, 0.379), Ga at (0.392, 0.308, 0.655), Ga at (0.903, 0.378, 0.606), Se at (0.178, 0.714, 0.664), Se at (0.463, 0.677, 0.895), Se at (0.527, 0.299, 0.397), Se at (0.610, 0.200, 0.878), Se at (0.957, 0.470, 0.961) and Se at (0.999, 0.076, 0.467).

=====

A relaxed KGaSe2 crystal. Source: Alexandria, functional PBE.

The structure belongs to space group Pna2_1 (No. 33); the cell edges are 6.749, 10.717 and 6.741 Å and the angles 90.00°, 90.00° and 90.00°. The distinct sites, in fractional coordinates, are K at (0.000, 0.122, 0.000), Ga at (0.047, 0.374, 0.440), Se at (0.010, 0.419, 0.083) and Se at (0.105, 0.825, 0.022).

=====

A relaxed KGa4Se7 crystal. Source: Alexandria, functional PBE.

The structure belongs to space group Pmn2_1 (No. 31); the cell edges are 15.659, 6.632 and 6.402 Å and the angles 90.00°, 90.00° and 90.00°. The distinct sites, in fractional coordinates, are K at (0.000, 0.179, 0.000), Ga at (0.122, 0.667, 0.622), Ga at (0.249, 0.181, 0.602), Se at (0.000, 0.850, 0.476), Se at (0.114, 0.321, 0.498), Se at (0.114, 0.688, 0.000) and Se at (0.244, 0.179, 0.994).

=====

A relaxed KGaSe2 crystal. Source: Alexandria, functional PBE.

The structure belongs to space group Pnma (No. 62); the cell edges are 9.954, 4.100 and 14.347 Å and the angles 90.00°, 90.00° and 90.00°. The distinct sites, in fractional coordinates, are K at (0.229, 0.250, 0.202), Ga at (0.036, 0.750, 0.408), Se at (0.017, 0.250, 0.747) and Se at (0.158, 0.250, 0.477).

=====

A relaxed KGaSe2 crystal. Source: Alexandria, functional PBE.

The structure belongs to space group P4/mmm (No. 123); the cell edges are 4.238, 4.238 and 5.957 Å and the angles 90.00°, 90.00° and 90.00°. The distinct sites, in fractional coordinates, are K at (0.000, 0.000, 0.000), Ga at (0.500, 0.500, 0.500), Se at (0.000, 0.000, 0.500) and Se at (0.500, 0.500, 0.000).

=====

A relaxed KGaSe3 crystal. Source: Alexandria, functional PBE.

The structure belongs to space group Pm-3m (No. 221); the cell edges are 5.952, 5.952 and 5.952 Å and the angles 90.00°, 90.00° and 90.00°. The distinct sites, in fractional coordinates, are K at (0.000, 0.000, 0.000), Ga at (0.500, 0.500, 0.500) and Se at (0.000, 0.000, 0.500).

=====

A relaxed K2GaSe crystal. Source: Alexandria, functional PBE.

The structure belongs to space group Fm-3m (No. 225); the cell edges are 8.017, 8.017 and 8.017 Å and the angles 90.00°, 90.00° and 90.00°. The distinct sites, in fractional coordinates, are K at (0.250, 0.250, 0.250), Ga at (0.000, 0.000, 0.000) and Se at (0.000, 0.000, 0.500).

For the energy above the most stable polymorph in this dataset, the calculation gives 0.00 kcal/mol of atoms.

=====

A relaxed KGaSe crystal. Source: Alexandria, functional PBE.

The structure belongs to space group Fddd (No. 70, origin choice 2); the cell edges are 10.296, 11.104 and 15.797 Å and the angles 90.00°, 90.00° and 90.00°. The distinct sites, in fractional coordinates, are K at (0.125, 0.125, 0.265), Ga at (0.000, 0.000, 0.500) and Se at (0.118, 0.375, 0.375).

For the energy above the most stable polymorph in this dataset, the calculation gives 5.50 kcal/mol of atoms.

=====

no.,total energy (eV per cell),total magnetic moment (Bohr magnetons per cell)
1,-7.6,2.64
2,-146.0,0.00
3,-130.6,0.00
4,-163.8,0.00
5,-13.8,0.00
6,-12.6,0.00
7,-102.7,0.02
8,-38.0,3.98
9,-29.7,0.00
10,-29.3,0.00
11,-41.0,0.00
12,-58.0,0.00
13,-36.7,0.00
14,-59.1,0.00
15,-90.7,1.75
16,-58.1,0.00
17,-12.2,0.00
18,-11.1,4.00
19,-40.2,0.00
20,-142.2,0.00